# MnPb3O

MnPb3O after structural relaxation (GGA+U, the Alexandria database).

Structure (POSCAR):
```
MnPb3O
1.0
5.2673 0.0000 0.0000
0.0000 5.2673 0.0000
0.0000 0.0000 5.2673
Mn Pb O
1 3 1
Cartesian
0.0000 0.0000 0.0000
0.0000 2.6336 0.0000
2.6336 0.0000 0.0000
0.0000 0.0000 2.6336
2.6336 2.6336 2.6336
```

Electronic total energy   -3.9460 eV per atom
Relative energy among the computed polymorphs   391 kJ/mol of formula units

***

# PmUCo2O8

PmUCo2O8 after structural relaxation (GGA+U, the Alexandria database).

Structure (POSCAR):
```
PmUCo2O8
1.0
-5.7750 -0.9810 -1.0134
2.6399 -4.6077 2.6723
0.4661 4.7216 3.5818
U O Pm Co
1 8 1 2
Cartesian
0.0000 0.0000 0.0000
-4.6550 -0.6213 0.7778
-3.4241 -0.5761 3.2564
-0.4344 -1.6884 1.5609
-3.8890 2.2862 1.8897
-3.0720 -3.2507 1.5849
-1.0153 2.9949 3.0347
-0.8164 0.2101 4.3010
-1.7850 0.8037 0.8718
0.7692 -1.3402 3.5418
-1.5676 -2.7943 0.8294
-3.4383 0.4731 1.6989
```

Electronic total energy   -7.5052 eV per atom

***

Result set for magnetic moment: 2.03; 5.03 μB per formula unit, one per record in the order listed.